Entry 1:
The following is a DFT calculation (PBE-GGA) of Cr2CuMo after structural relaxation.

It has space group Fm-3m (No. 225), with a = 6.004 Å, b = 6.004 Å, c = 6.004 Å, α = 90.00°, β = 90.00° and γ = 90.00°. The inequivalent atoms are Cr at (0.250, 0.250, 0.250), Cu at (0.000, 0.000, 0.000) and Mo at (0.000, 0.000, 0.500).

The total moment is 4.46 μB per formula unit. Its crystal system is cubic. The calculation puts the total energy at -8.244 eV/atom.


Entry 2:
The following is a DFT calculation (PBE-GGA) of Ba2CaSiPb after structural relaxation.

It has space group P4/mmm (No. 123), with a = 6.806 Å, b = 6.806 Å, c = 5.260 Å, α = 90.00°, β = 90.00° and γ = 90.00°. The inequivalent atoms are Ba at (0.000, 0.500, 0.000), Ca at (0.000, 0.000, 0.500), Si at (0.500, 0.500, 0.500) and Pb at (0.500, 0.500, 0.000).

The total moment is 0.93 μB per formula unit. Its crystal system is tetragonal. As for the raw formation energy: 1.39 eV/f.u.